PaTlAg | PBE | relaxed

The offset from the most stable computed form comes out at 1.161 eV per formula unit. Its space-group type is F-43m. Its calculated total energy is -4.1759 eV/atom.

a = 4.995 Å, b = 4.995 Å, c = 4.995 Å
α = 60.00°, β = 60.00°, γ = 60.00°
Fractional positions:
Tl: 0.750 0.750 0.750
Ag: 0.250 0.250 0.250
Pa: 0.000 0.000 0.000

***

Tm3ThSb4 | PBE | relaxed

Its space-group type is Cmmm. Its calculated total energy is -5.6959 eV/atom.

a = 7.584 Å, b = 7.584 Å, c = 4.390 Å
α = 90.00°, β = 90.00°, γ = 109.50°
Fractional positions:
Sb: 0.254 0.746 0.000
Tm: 0.500 0.000 0.500
Tm: 0.000 0.500 0.500
Th: 0.000 0.000 0.000
Tm: 0.500 0.500 0.000
Sb: 0.746 0.254 0.000
Sb: 0.259 0.259 0.500
Sb: 0.741 0.741 0.500

***

Tc2Pb2O5 | PBE | relaxed

Its space-group type is P4/mmm. Its calculated total energy is -6.8170 eV/atom.

a = 8.013 Å, b = 3.908 Å, c = 3.908 Å
α = 90.00°, β = 90.00°, γ = 90.00°
Fractional positions:
Tc: 0.230 0.500 0.500
O: 0.500 0.500 0.500
O: 0.236 0.000 0.500
O: 0.764 0.500 0.000
O: 0.764 0.000 0.500
Tc: 0.770 0.500 0.500
O: 0.236 0.500 0.000
Pb: 0.000 0.000 0.000
Pb: 0.500 0.000 0.000

***

YErAu | PBE | relaxed

The offset from the most stable computed form comes out at 0.599 eV per formula unit. Its space-group type is F-43m. Its calculated total energy is -5.2270 eV/atom. The formation energy comes out at -0.4620 eV per atom.

a = 4.928 Å, b = 4.928 Å, c = 4.928 Å
α = 60.00°, β = 60.00°, γ = 60.00°
Fractional positions:
Y: 0.750 0.750 0.750
Au: 0.000 0.000 0.000
Er: 0.250 0.250 0.250

***

CdTcOsAu | PBE | relaxed

The offset from the most stable computed form comes out at 0.000 eV per formula unit. Its space-group type is F-43m. Its calculated total energy is -5.8228 eV/atom. The formation energy comes out at 0.6143 eV per atom.

a = 4.542 Å, b = 4.542 Å, c = 4.542 Å
α = 60.00°, β = 60.00°, γ = 60.00°
Fractional positions:
Os: 0.000 0.000 0.000
Cd: 0.500 0.500 0.500
Tc: 0.250 0.250 0.250
Au: 0.750 0.750 0.750

***

YNbCuB | PBE | relaxed

The offset from the most stable computed form comes out at 0.262 eV per formula unit. Its space-group type is F-43m. Its calculated total energy is -5.6945 eV/atom.

a = 4.566 Å, b = 4.566 Å, c = 4.566 Å
α = 60.00°, β = 60.00°, γ = 60.00°
Fractional positions:
Y: 0.250 0.250 0.250
Cu: 0.750 0.750 0.750
B: 0.000 0.000 0.000
Nb: 0.500 0.500 0.500

***

K2Th2Te5 | PBE | relaxed

Its space-group type is Cmce. Its calculated total energy is -4.8651 eV/atom.

a = 9.671 Å, b = 9.671 Å, c = 8.746 Å
α = 90.00°, β = 90.00°, γ = 53.67°
Fractional positions:
Te: 0.528 0.238 0.145
Te: 0.238 0.528 0.855
K: 0.297 0.297 0.500
Th: 0.341 0.659 0.159
Th: 0.659 0.341 0.841
K: 0.203 0.203 0.000
Th: 0.841 0.159 0.341
Te: 0.028 0.738 0.355
Te: 0.738 0.028 0.645
K: 0.703 0.703 0.500
Te: 0.762 0.472 0.145
Te: 0.972 0.262 0.645
Te: 0.000 0.000 0.000
Th: 0.159 0.841 0.659
Te: 0.472 0.762 0.855
Te: 0.500 0.500 0.500
Te: 0.262 0.972 0.355
K: 0.797 0.797 0.000

***

Li4Cd2SiGe | PBE | relaxed

Its space-group type is P-6m2. Its calculated total energy is -2.6862 eV/atom.

a = 4.523 Å, b = 4.523 Å, c = 8.118 Å
α = 90.00°, β = 90.00°, γ = 120.00°
Fractional positions:
Li: 0.333 0.667 0.827
Li: 0.000 0.000 0.669
Cd: 0.667 0.333 0.500
Ge: 0.000 0.000 0.000
Li: 0.000 0.000 0.331
Cd: 0.667 0.333 0.000
Li: 0.333 0.667 0.173
Si: 0.333 0.667 0.500

***

Dy2TmBi3 | PBE | relaxed

Its space-group type is P-3m1. Its calculated total energy is -5.1535 eV/atom.

a = 4.448 Å, b = 4.448 Å, c = 10.911 Å
α = 90.00°, β = 90.00°, γ = 120.00°
Fractional positions:
Dy: 0.333 0.667 0.833
Bi: 0.333 0.667 0.336
Dy: 0.667 0.333 0.167
Tm: 0.000 0.000 0.500
Bi: 0.000 0.000 0.000
Bi: 0.667 0.333 0.664

***

TlTcSe3 | PBE | relaxed

Its space-group type is P-1. Its calculated total energy is -4.8912 eV/atom.

a = 5.453 Å, b = 7.329 Å, c = 7.660 Å
α = 103.84°, β = 100.28°, γ = 94.93°
Fractional positions:
Tc: 0.269 0.053 0.544
Se: 0.983 0.001 0.751
Se: 0.646 0.660 0.195
Se: 0.354 0.340 0.804
Se: 0.593 0.245 0.444
Tl: 0.129 0.422 0.194
Se: 0.406 0.755 0.556
Tl: 0.871 0.578 0.806
Se: 0.017 0.999 0.249
Tc: 0.731 0.947 0.456

***

Lu2SiN | PBE | relaxed

The offset from the most stable computed form comes out at 0.000 eV per formula unit. Its space-group type is C2/c. Its calculated total energy is -6.8528 eV/atom.

a = 5.895 Å, b = 5.895 Å, c = 14.292 Å
α = 101.90°, β = 101.90°, γ = 60.01°
Fractional positions:
Lu: 0.460 0.643 0.906
Lu: 0.643 0.460 0.406
Lu: 0.143 0.304 0.906
N: 0.166 0.666 0.999
N: 0.334 0.834 0.501
N: 0.500 0.000 0.000
Lu: 0.696 0.857 0.594
N: 0.000 0.500 0.500
N: 0.834 0.334 0.001
Si: 0.750 0.515 0.750
Lu: 0.304 0.143 0.406
Lu: 0.540 0.357 0.094
Lu: 0.041 0.196 0.594
Si: 0.983 0.017 0.250
Lu: 0.196 0.041 0.094
Lu: 0.357 0.540 0.594
Si: 0.250 0.485 0.250
Lu: 0.804 0.959 0.906
N: 0.666 0.166 0.499
Si: 0.485 0.250 0.750
Si: 0.515 0.750 0.250
Lu: 0.959 0.804 0.406
Lu: 0.857 0.696 0.094
Si: 0.017 0.983 0.750

***

GdInAs | PBE | relaxed

Its space-group type is F-43m. Its calculated total energy is -4.2831 eV/atom.

a = 4.958 Å, b = 4.958 Å, c = 4.958 Å
α = 60.00°, β = 60.00°, γ = 60.00°
Fractional positions:
Gd: 0.000 0.000 0.000
In: 0.750 0.750 0.750
As: 0.250 0.250 0.250